# 1
First-principles (GGA-PBE) data for an optimized crystal structure of FeSiIr2, as listed in Alexandria via LeMat-Bulk.

abc: 3.8282 2.7562 5.3264
angles: 74.99 90.00 90.00
Sites, in units of the cell vectors:
Ir 0.0000 0.0705 0.9837
Ir 0.5000 0.4321 0.2606
Fe 0.5000 0.6999 0.7251
Si 0.0000 0.2975 0.5306

Space-group type = No. 38

# 2
First-principles (GGA-PBE) data for an optimized crystal structure of FeSiIr2, as listed in Alexandria via LeMat-Bulk.

abc: 3.4460 3.9364 3.9364
angles: 90.00 90.00 90.00
Sites, in units of the cell vectors:
Ir 0.0000 0.5000 0.5000
Ir 0.0000 0.0000 0.0000
Si 0.5000 0.5000 0.0000
Fe 0.5000 0.0000 0.5000

Space-group type = No. 123

# 3
First-principles (GGA-PBE) data for an optimized crystal structure of Fe2SiIr, as listed in Alexandria via LeMat-Bulk.

abc: 4.9235 4.9235 4.9235
angles: 146.66 130.54 60.96
Sites, in units of the cell vectors:
Fe 0.0144 0.0144 0.0000
Fe 0.4856 0.4856 0.0000
Si 0.2500 0.7500 0.5000
Ir 0.7500 0.2500 0.5000

Space-group type = No. 71

# 4
First-principles (GGA-PBE) data for an optimized crystal structure of FeSiIr2, as listed in Alexandria via LeMat-Bulk.

abc: 4.4059 4.4059 4.4059
angles: 126.38 126.38 79.27
Sites, in units of the cell vectors:
Fe 0.7500 0.2500 0.5000
Ir 0.5000 0.5000 0.0000
Ir 0.0000 0.0000 0.0000
Si 0.2500 0.7500 0.5000

Space-group type = No. 139

# 5
First-principles (GGA-PBE) data for an optimized crystal structure of FeSiIr2, as listed in Alexandria via LeMat-Bulk.

abc: 2.8457 2.8457 6.6624
angles: 90.00 90.00 90.00
Sites, in units of the cell vectors:
Ir 0.0000 0.0000 0.4721
Ir 0.0000 0.0000 0.0279
Si 0.5000 0.5000 0.2500
Fe 0.5000 0.5000 0.7500

Space-group type = No. 123

# 6
First-principles (GGA-PBE) data for an optimized crystal structure of FeSiIr2, as listed in Alexandria via LeMat-Bulk.

abc: 2.7824 3.7775 5.1822
angles: 90.00 90.00 90.00
Sites, in units of the cell vectors:
Fe 0.5000 0.5000 0.7730
Si 0.0000 0.0000 0.4820
Ir 0.0000 0.0000 0.9557
Ir 0.5000 0.5000 0.2893

Space-group type = No. 25

# 7
First-principles (GGA-PBE) data for an optimized crystal structure of FeSiIr2, as listed in Alexandria via LeMat-Bulk.

abc: 2.7329 2.7329 8.4657
angles: 90.00 90.00 119.35
Sites, in units of the cell vectors:
Si 0.0000 0.0000 0.5066
Ir 0.5000 0.5000 0.2760
Ir 0.0000 0.0000 0.9848
Fe 0.5000 0.5000 0.7326

Space-group type = No. 35

# 8
First-principles (GGA-PBE) data for an optimized crystal structure of Fe2SiIr, as listed in Alexandria via LeMat-Bulk.

abc: 4.8486 4.8486 4.8486
angles: 146.00 128.40 63.24
Sites, in units of the cell vectors:
Ir 0.4819 0.4819 0.0000
Fe 0.0172 0.0172 0.0000
Fe 0.7585 0.2585 0.5000
Si 0.2424 0.7424 0.5000

Space-group type = No. 44

# 9
First-principles (GGA-PBE) data for an optimized crystal structure of SmFeSi3Ir, as listed in Alexandria via LeMat-Bulk.

abc: 5.7361 6.1429 6.8721
angles: 116.55 90.00 90.00
Sites, in units of the cell vectors:
Si 0.7500 0.7990 0.5980
Si 0.0000 0.7137 0.0000
Si 0.5000 0.2863 0.0000
Si 0.5000 0.7137 0.0000
Si 0.2500 0.2010 0.4020
Si 0.0000 0.2863 0.0000
Sm 0.7500 0.2113 0.4226
Sm 0.2500 0.7887 0.5774
Ir 0.2500 0.3839 0.7677
Ir 0.7500 0.6161 0.2323
Fe 0.7500 0.9701 0.9403
Fe 0.2500 0.0299 0.0597

Space-group type = No. 63

# 10
First-principles (GGA-PBE) data for an optimized crystal structure of Tb2FeSi3Ir4, as listed in Alexandria via LeMat-Bulk.

abc: 4.1087 4.1087 9.9992
angles: 90.00 90.00 90.00
Sites, in units of the cell vectors:
Ir 0.0000 0.0000 0.0000
Ir 0.0000 0.5000 0.3666
Ir 0.5000 0.5000 0.0000
Ir 0.5000 0.0000 0.6334
Tb 0.0000 0.5000 0.7466
Tb 0.5000 0.0000 0.2534
Si 0.0000 0.0000 0.5000
Si 0.0000 0.5000 0.1296
Si 0.5000 0.0000 0.8704
Fe 0.5000 0.5000 0.5000

Space-group type = No. 115

# 11
First-principles (GGA-PBE) data for an optimized crystal structure of FeSiTcIr, as listed in Alexandria via LeMat-Bulk.

abc: 4.2082 4.2082 4.2082
angles: 60.00 60.00 60.00
Sites, in units of the cell vectors:
Ir 0.7500 0.7500 0.7500
Tc 0.2500 0.2500 0.2500
Fe 0.0000 0.0000 0.0000
Si 0.5000 0.5000 0.5000

Space-group type = No. 216

# 12
First-principles (GGA-PBE) data for an optimized crystal structure of ThFeSi3Ir, as listed in Alexandria via LeMat-Bulk.

abc: 5.7314 6.2356 6.9079
angles: 116.83 90.00 90.00
Sites, in units of the cell vectors:
Ir 0.7500 0.6147 0.2295
Ir 0.2500 0.3853 0.7705
Th 0.2500 0.7984 0.5968
Th 0.7500 0.2016 0.4032
Si 0.0000 0.7140 0.0000
Si 0.5000 0.2861 0.0000
Si 0.0000 0.2861 0.0000
Si 0.7500 0.7978 0.5957
Si 0.2500 0.2022 0.4043
Si 0.5000 0.7140 0.0000
Fe 0.7500 0.9716 0.9432
Fe 0.2500 0.0284 0.0568

Space-group type = No. 63

# 13
First-principles (GGA-PBE) data for an optimized crystal structure of Th2FeSiIr6, as listed in Alexandria via LeMat-Bulk.

abc: 6.4560 6.4560 6.4560
angles: 60.00 60.00 90.00
Sites, in units of the cell vectors:
Ir 0.2449 0.2449 0.5102
Ir 0.7551 0.7551 0.4898
Ir 0.7551 0.7551 0.0000
Ir 0.2449 0.7551 0.0000
Ir 0.7551 0.2449 0.0000
Ir 0.2449 0.2449 0.0000
Th 0.2500 0.7500 0.5000
Th 0.7500 0.2500 0.5000
Si 0.0000 0.0000 0.0000
Fe 0.5000 0.5000 0.0000

Space-group type = No. 225

# 14
First-principles (GGA-PBE) data for an optimized crystal structure of TiFe2SiIr, as listed in Alexandria via LeMat-Bulk.

abc: 4.4521 4.6456 4.4521
angles: 90.00 90.00 90.00
Sites, in units of the cell vectors:
Ir 0.0000 0.0000 0.0000
Ti 0.0000 0.5000 0.0000
Si 0.5000 0.5000 0.5000
Fe 0.5000 0.0000 0.0000
Fe 0.0000 0.0000 0.5000

Space-group type = No. 123

# 15
First-principles (GGA-PBE) data for an optimized crystal structure of Tm2FeSi3Ir4, as listed in Alexandria via LeMat-Bulk.

abc: 4.0761 4.0761 9.9889
angles: 90.00 90.00 90.00
Sites, in units of the cell vectors:
Tm 0.5000 0.0000 0.2529
Tm 0.0000 0.5000 0.7471
Si 0.5000 0.0000 0.8695
Si 0.0000 0.0000 0.5000
Si 0.0000 0.5000 0.1305
Fe 0.5000 0.5000 0.5000
Ir 0.5000 0.5000 0.0000
Ir 0.0000 0.5000 0.3654
Ir 0.5000 0.0000 0.6346
Ir 0.0000 0.0000 0.0000

Space-group type = No. 115

# 16
First-principles (GGA-PBE) data for an optimized crystal structure of TmFeSi3Ir, as listed in Alexandria via LeMat-Bulk.

abc: 5.5750 6.0819 6.9555
angles: 115.93 90.00 90.00
Sites, in units of the cell vectors:
Si 0.0000 0.7111 0.0000
Si 0.2500 0.2003 0.4007
Si 0.5000 0.7111 0.0000
Si 0.5000 0.2889 0.0000
Si 0.7500 0.7997 0.5993
Si 0.0000 0.2889 0.0000
Fe 0.7500 0.9684 0.9367
Fe 0.2500 0.0316 0.0633
Ir 0.2500 0.3798 0.7597
Ir 0.7500 0.6202 0.2403
Tm 0.7500 0.1953 0.3906
Tm 0.2500 0.8047 0.6093

Space-group type = No. 63

# 17
First-principles (GGA-PBE) data for an optimized crystal structure of TmFeSi2Ir, as listed in Alexandria via LeMat-Bulk.

abc: 4.0171 4.0171 5.6083
angles: 110.99 110.99 90.00
Sites, in units of the cell vectors:
Fe 0.7500 0.2500 0.5000
Tm 0.0000 0.0000 0.0000
Ir 0.2500 0.7500 0.5000
Si 0.3741 0.3741 0.7481
Si 0.6259 0.6259 0.2519

Space-group type = No. 119

# 18
First-principles (GGA-PBE) data for an optimized crystal structure of Tm2FeSi4Ir3, as listed in Alexandria via LeMat-Bulk.

abc: 4.0804 4.0804 9.7637
angles: 90.00 90.00 90.00
Sites, in units of the cell vectors:
Ir 0.5000 0.0000 0.8682
Ir 0.0000 0.5000 0.1318
Ir 0.0000 0.0000 0.5000
Fe 0.5000 0.5000 0.5000
Si 0.0000 0.0000 0.0000
Si 0.5000 0.5000 0.0000
Si 0.0000 0.5000 0.3766
Si 0.5000 0.0000 0.6234
Tm 0.0000 0.5000 0.7453
Tm 0.5000 0.0000 0.2547

Space-group type = No. 115

# 19
First-principles (GGA-PBE) data for an optimized crystal structure of UFeSi3Ir, as listed in Alexandria via LeMat-Bulk.

abc: 5.5041 6.1969 7.1219
angles: 115.79 90.00 90.00
Sites, in units of the cell vectors:
Si 0.0000 0.2894 0.0000
Si 0.0000 0.7106 0.0000
Si 0.7500 0.7927 0.5854
Si 0.5000 0.7106 0.0000
Si 0.5000 0.2894 0.0000
Si 0.2500 0.2073 0.4146
U 0.2500 0.8317 0.6633
U 0.7500 0.1683 0.3367
Ir 0.2500 0.3835 0.7671
Ir 0.7500 0.6165 0.2329
Fe 0.7500 0.9635 0.9270
Fe 0.2500 0.0365 0.0730

Space-group type = No. 63

# 20
First-principles (GGA-PBE) data for an optimized crystal structure of U2FeSi6Ir, as listed in Alexandria via LeMat-Bulk.

abc: 5.7764 5.7764 12.3881
angles: 76.52 76.52 60.00
Sites, in units of the cell vectors:
Ir 0.4225 0.4225 0.7324
Ir 0.5775 0.5775 0.2676
Si 0.1895 0.1895 0.8481
Si 0.6607 0.6607 0.6080
Si 0.7728 0.1895 0.8481
Si 0.8105 0.2272 0.1519
Si 0.1895 0.7728 0.8481
Si 0.8105 0.8105 0.1519
Si 0.0706 0.6607 0.6080
Si 0.2272 0.8105 0.1519
Si 0.3393 0.9294 0.3920
Si 0.3393 0.3393 0.3920
Si 0.9294 0.3393 0.3920
Si 0.6607 0.0706 0.6080
U 0.1259 0.1259 0.6223
U 0.8741 0.8741 0.3777
U 0.7161 0.7161 0.8516
U 0.2839 0.2839 0.1484
Fe 0.5000 0.5000 0.5000
Fe 0.0000 0.0000 0.0000

Space-group type = No. 166

# 21
First-principles (GGA-PBE) data for an optimized crystal structure of U2FeSi4Ir3, as listed in Alexandria via LeMat-Bulk.

abc: 4.0750 4.0750 9.7759
angles: 90.00 90.00 90.00
Sites, in units of the cell vectors:
Si 0.5000 0.0000 0.6265
Si 0.0000 0.0000 0.0000
Si 0.0000 0.5000 0.3735
Si 0.5000 0.5000 0.0000
U 0.5000 0.0000 0.2571
U 0.0000 0.5000 0.7429
Ir 0.0000 0.0000 0.5000
Ir 0.0000 0.5000 0.1314
Ir 0.5000 0.0000 0.8686
Fe 0.5000 0.5000 0.5000

Space-group type = No. 115

# 22
First-principles (GGA-PBE) data for an optimized crystal structure of UFeSi2Ir2, as listed in Alexandria via LeMat-Bulk.

abc: 3.8414 3.8414 7.7289
angles: 104.39 104.39 90.00
Sites, in units of the cell vectors:
Ir 0.2500 0.7500 0.5000
Ir 0.7500 0.2500 0.5000
Si 0.8461 0.8461 0.6922
Si 0.1539 0.1539 0.3078
Fe 0.0000 0.0000 0.0000
U 0.5000 0.5000 0.0000

Space-group type = No. 139

# 23
First-principles (GGA-PBE) data for an optimized crystal structure of VFeSiIr, as listed in Alexandria via LeMat-Bulk.

abc: 4.1543 4.1543 4.1543
angles: 60.00 60.00 60.00
Sites, in units of the cell vectors:
Fe 0.5000 0.5000 0.5000
Si 0.7500 0.7500 0.7500
V 0.2500 0.2500 0.2500
Ir 0.0000 0.0000 0.0000

Space-group type = No. 216

# 24
First-principles (GGA-PBE) data for an optimized crystal structure of Fe2SiIrW, as listed in Alexandria via LeMat-Bulk.

abc: 4.3364 4.5925 4.3364
angles: 90.00 90.00 90.00
Sites, in units of the cell vectors:
Fe 0.5000 0.0000 0.0000
Fe 0.0000 0.0000 0.5000
Si 0.0000 0.5000 0.0000
W 0.0000 0.0000 0.0000
Ir 0.5000 0.5000 0.5000

Space-group type = No. 123

# 25
First-principles (GGA-PBE) data for an optimized crystal structure of Y2FeSi4Ir3, as listed in Alexandria via LeMat-Bulk.

abc: 4.1177 4.1177 9.7444
angles: 90.00 90.00 90.00
Sites, in units of the cell vectors:
Ir 0.0000 0.5000 0.1298
Ir 0.0000 0.0000 0.5000
Ir 0.5000 0.0000 0.8702
Si 0.5000 0.5000 0.0000
Si 0.0000 0.0000 0.0000
Si 0.0000 0.5000 0.3772
Si 0.5000 0.0000 0.6228
Fe 0.5000 0.5000 0.5000
Y 0.0000 0.5000 0.7474
Y 0.5000 0.0000 0.2526

Space-group type = No. 115

no.,raw total energy (eV per cell)
1,-32.5
2,-32.6
3,-32.4
4,-32.8
5,-33.0
6,-32.4
7,-31.4
8,-32.0
9,-82.2
10,-78.7
11,-34.4
12,-87.6
13,-83.3
14,-33.0
15,-78.3
16,-81.2
17,-37.1
18,-75.0
19,-92.6
20,-149.9
21,-86.4
22,-50.3
23,-33.5
24,-35.9
25,-79.0